# Pm3Nd2Rh4, relaxed, DFT PBE-GGA
# raw total energy = -6.440 eV per atom
# total moment = 0.000 μB per atom
# DFT formation energy = -0.53 eV/atom
# polymorph energy (0 for the lowest one) = 145.2 meV per atom
data_Pm3Nd2Rh4
_symmetry_space_group_name_H-M 'C m c e'
_symmetry_Int_Tables_number 64
_symmetry_space_group_name_Hall '-C 2ac 2'
_cell_length_a 6.624
_cell_length_b 16.402
_cell_length_c 8.108
_cell_angle_alpha 90.00
_cell_angle_beta 90.00
_cell_angle_gamma 90.00
loop_
_atom_site_label
_atom_site_fract_x
_atom_site_fract_y
_atom_site_fract_z
Pm1 0.000 0.000 0.000
Pm2 0.250 0.213 0.250
Nd1 0.000 0.100 0.602
Rh1 0.000 0.181 0.940
Rh2 0.250 0.043 0.250